No. 1
{"formula": "PaHO3", "functional": "GGA-PBE", "state": "optimized geometry", "magmom_total_mub_per_cell": 0.00, "dft_energy_ev_per_fu": -41.453, "lattice_angstrom": [[4.702, 0.000, 0.000], [0.000, 2.975, 3.023], [0.000, -2.975, 3.023]], "species": ["Pa", "H", "O", "O", "O"], "fractional_positions": [[0.000, 0.000, 0.000], [0.500, 0.218, 0.218], [0.000, 0.004, 0.502], [0.000, 0.502, 0.004], [0.500, 0.056, 0.056]]}

=====

No. 2
{"formula": "PaHO", "functional": "GGA-PBE", "state": "optimized geometry", "magmom_total_mub_per_cell": 0.00, "dft_energy_ev_per_fu": -22.741, "lattice_angstrom": [[0.000, 2.674, 2.674], [2.674, 0.000, 2.674], [2.674, 2.674, 0.000]], "species": ["Pa", "H", "O"], "fractional_positions": [[0.000, 0.000, 0.000], [0.500, 0.500, 0.500], [0.750, 0.750, 0.750]]}

=====

No. 3
{"formula": "PaH2Pb2O6", "functional": "GGA-PBE", "state": "optimized geometry", "magmom_total_mub_per_cell": 0.00, "dft_energy_ev_per_fu": -68.980, "lattice_angstrom": [[2.694, 1.555, 5.557], [-2.694, 1.555, 5.557], [0.000, -3.110, 5.557]], "species": ["Pa", "H", "H", "Pb", "Pb", "O", "O", "O", "O", "O", "O"], "fractional_positions": [[0.000, 0.000, 0.000], [0.419, 0.419, 0.419], [0.581, 0.581, 0.581], [0.213, 0.213, 0.213], [0.787, 0.787, 0.787], [0.261, 0.261, 0.726], [0.261, 0.726, 0.261], [0.274, 0.739, 0.739], [0.726, 0.261, 0.261], [0.739, 0.274, 0.739], [0.739, 0.739, 0.274]]}

=====

No. 4
{"formula": "PaH2PtO6", "functional": "GGA-PBE", "state": "optimized geometry", "magmom_total_mub_per_cell": 0.00, "dft_energy_ev_per_fu": -67.844, "lattice_angstrom": [[4.967, 0.000, 0.000], [2.021, 4.734, 0.000], [2.248, 1.129, 4.931]], "species": ["Pa", "H", "H", "Pt", "O", "O", "O", "O", "O", "O"], "fractional_positions": [[0.000, 0.000, 0.000], [0.189, 0.392, 0.294], [0.811, 0.608, 0.706], [0.500, 0.500, 0.500], [0.124, 0.739, 0.726], [0.260, 0.561, 0.257], [0.377, 0.153, 0.744], [0.623, 0.847, 0.256], [0.740, 0.439, 0.743], [0.876, 0.261, 0.274]]}

=====

No. 5
{"formula": "PuPa3H4O12", "functional": "GGA-PBE", "state": "optimized geometry", "magmom_total_mub_per_cell": 2.98, "dft_energy_ev_per_fu": -161.638, "lattice_angstrom": [[4.985, 2.878, 2.775], [-4.985, 2.878, 2.775], [0.000, -5.756, 2.775]], "species": ["Pu", "Pa", "Pa", "Pa", "H", "H", "H", "H", "O", "O", "O", "O", "O", "O", "O", "O", "O", "O", "O", "O"], "fractional_positions": [[0.000, 0.000, 0.000], [0.000, 0.540, 0.460], [0.460, 0.000, 0.540], [0.540, 0.460, 0.000], [0.090, 0.500, 0.910], [0.500, 0.500, 0.500], [0.500, 0.910, 0.090], [0.910, 0.090, 0.500], [0.032, 0.653, 0.828], [0.116, 0.884, 0.500], [0.172, 0.347, 0.968], [0.347, 0.968, 0.172], [0.360, 0.640, 0.500], [0.500, 0.116, 0.884], [0.500, 0.360, 0.640], [0.640, 0.500, 0.360], [0.653, 0.828, 0.032], [0.828, 0.032, 0.653], [0.884, 0.500, 0.116], [0.968, 0.172, 0.347]]}

=====

No. 6
{"formula": "RbPaHO4", "functional": "GGA-PBE", "state": "optimized geometry", "magmom_total_mub_per_cell": 0.43, "dft_energy_ev_per_fu": -49.292, "lattice_angstrom": [[5.617, 0.000, 0.000], [0.000, 4.598, 0.000], [-1.667, 0.000, 7.780]], "species": ["Rb", "Rb", "Pa", "Pa", "H", "H", "O", "O", "O", "O", "O", "O", "O", "O"], "fractional_positions": [[0.243, 0.250, 0.043], [0.757, 0.750, 0.957], [0.263, 0.250, 0.551], [0.737, 0.750, 0.449], [0.302, 0.750, 0.243], [0.698, 0.250, 0.757], [0.008, 0.000, 0.328], [0.008, 0.500, 0.328], [0.433, 0.750, 0.566], [0.451, 0.750, 0.196], [0.549, 0.250, 0.804], [0.567, 0.250, 0.434], [0.992, 0.000, 0.672], [0.992, 0.500, 0.672]]}

=====

No. 7
{"formula": "Rb3Pa2H2O5", "functional": "GGA-PBE", "state": "optimized geometry", "magmom_total_mub_per_cell": 1.01, "dft_energy_ev_per_fu": -79.913, "lattice_angstrom": [[-2.207, 2.207, 12.092], [2.207, -2.207, 12.092], [2.207, 2.207, -12.092]], "species": ["Rb", "Rb", "Rb", "Pa", "Pa", "H", "H", "O", "O", "O", "O", "O"], "fractional_positions": [[0.000, 0.000, 0.000], [0.187, 0.187, 0.000], [0.813, 0.813, 0.000], [0.409, 0.409, 0.000], [0.591, 0.591, 0.000], [0.310, 0.310, 0.000], [0.690, 0.690, 0.000], [0.098, 0.598, 0.500], [0.402, 0.902, 0.500], [0.500, 0.500, 0.000], [0.598, 0.098, 0.500], [0.902, 0.402, 0.500]]}

=====

No. 8
{"formula": "RbPa2HO5", "functional": "GGA-PBE", "state": "optimized geometry", "magmom_total_mub_per_cell": 0.00, "dft_energy_ev_per_fu": -73.531, "lattice_angstrom": [[4.311, 0.000, 0.000], [0.000, 4.311, 0.000], [0.000, 0.000, 8.863]], "species": ["Rb", "Pa", "Pa", "H", "O", "O", "O", "O", "O"], "fractional_positions": [[0.000, 0.000, 0.000], [0.500, 0.500, 0.249], [0.500, 0.500, 0.751], [0.500, 0.500, 0.500], [0.000, 0.500, 0.245], [0.000, 0.500, 0.755], [0.500, 0.000, 0.245], [0.500, 0.000, 0.755], [0.500, 0.500, 0.000]]}

=====

No. 9
{"formula": "Rb2PaH2O6", "functional": "GGA-PBE", "state": "optimized geometry", "magmom_total_mub_per_cell": 0.00, "dft_energy_ev_per_fu": -63.932, "lattice_angstrom": [[5.463, 0.000, 0.000], [-2.731, 4.731, 0.000], [0.000, 0.000, 6.289]], "species": ["Rb", "Rb", "Pa", "H", "H", "O", "O", "O", "O", "O", "O"], "fractional_positions": [[0.333, 0.667, 0.355], [0.667, 0.333, 0.645], [0.000, 0.000, 0.000], [0.333, 0.667, 0.831], [0.667, 0.333, 0.169], [0.185, 0.369, 0.816], [0.185, 0.815, 0.816], [0.369, 0.185, 0.184], [0.631, 0.815, 0.816], [0.815, 0.185, 0.184], [0.815, 0.631, 0.184]]}

=====

No. 10
{"formula": "PaReH2O8", "functional": "GGA-PBE", "state": "optimized geometry", "magmom_total_mub_per_cell": 0.00, "dft_energy_ev_per_fu": -87.976, "lattice_angstrom": [[4.598, 0.000, 0.000], [1.307, 5.102, 0.000], [0.094, 1.084, 6.431]], "species": ["Pa", "Re", "H", "H", "O", "O", "O", "O", "O", "O", "O", "O"], "fractional_positions": [[0.000, 0.000, 0.000], [0.000, 0.000, 0.500], [0.277, 0.411, 0.850], [0.723, 0.589, 0.150], [0.151, 0.755, 0.742], [0.152, 0.763, 0.317], [0.313, 0.239, 0.947], [0.377, 0.113, 0.486], [0.623, 0.887, 0.514], [0.687, 0.761, 0.053], [0.848, 0.237, 0.683], [0.849, 0.245, 0.258]]}

=====

No. 11
{"formula": "PaH2RhO6", "functional": "GGA-PBE", "state": "optimized geometry", "magmom_total_mub_per_cell": 1.94, "dft_energy_ev_per_fu": -69.615, "lattice_angstrom": [[5.004, 0.000, 0.000], [2.170, 4.701, 0.000], [2.428, 1.215, 4.936]], "species": ["Pa", "H", "H", "Rh", "O", "O", "O", "O", "O", "O"], "fractional_positions": [[0.000, 0.000, 0.000], [0.195, 0.393, 0.304], [0.805, 0.607, 0.696], [0.500, 0.500, 0.500], [0.132, 0.737, 0.712], [0.267, 0.562, 0.257], [0.368, 0.148, 0.753], [0.632, 0.852, 0.247], [0.733, 0.438, 0.743], [0.868, 0.263, 0.288]]}

=====

No. 12
{"formula": "PaH2RuO6", "functional": "GGA-PBE", "state": "optimized geometry", "magmom_total_mub_per_cell": 3.02, "dft_energy_ev_per_fu": -72.882, "lattice_angstrom": [[5.065, 0.000, 0.000], [2.316, 4.704, 0.000], [2.501, 1.491, 4.918]], "species": ["Pa", "H", "H", "Ru", "O", "O", "O", "O", "O", "O"], "fractional_positions": [[0.000, 0.000, 0.000], [0.212, 0.389, 0.299], [0.951, 0.685, 0.714], [0.535, 0.469, 0.497], [0.123, 0.717, 0.724], [0.278, 0.559, 0.254], [0.387, 0.127, 0.732], [0.631, 0.835, 0.250], [0.743, 0.394, 0.735], [0.885, 0.244, 0.275]]}

=====

Repeat the seventh record exactly.
{"formula": "Rb3Pa2H2O5", "functional": "GGA-PBE", "state": "optimized geometry", "magmom_total_mub_per_cell": 1.01, "dft_energy_ev_per_fu": -79.913, "lattice_angstrom": [[-2.207, 2.207, 12.092], [2.207, -2.207, 12.092], [2.207, 2.207, -12.092]], "species": ["Rb", "Rb", "Rb", "Pa", "Pa", "H", "H", "O", "O", "O", "O", "O"], "fractional_positions": [[0.000, 0.000, 0.000], [0.187, 0.187, 0.000], [0.813, 0.813, 0.000], [0.409, 0.409, 0.000], [0.591, 0.591, 0.000], [0.310, 0.310, 0.000], [0.690, 0.690, 0.000], [0.098, 0.598, 0.500], [0.402, 0.902, 0.500], [0.500, 0.500, 0.000], [0.598, 0.098, 0.500], [0.902, 0.402, 0.500]]}